1 | Pu3TlRu: optimized geometry, GGA-PBE.

Calculated values
As for the space group: No. 187. The calculation puts the density at 16.3 g/cm³. Its density of states at the Fermi level is 1.574 states/eV per atom.

a = 3.111 Å, b = 6.271 Å, c = 6.271 Å
α = 120.00°, β = 90.00°, γ = 90.00°
Atoms (fractional coordinates):
Pu1 0.500 0.750 0.875
Pu2 0.500 0.125 0.875
Tl1 0.000 0.667 0.333
Pu3 0.500 0.125 0.250
Ru1 0.000 0.333 0.667

***

2 | Pu3TlRu: optimized geometry, GGA-PBE.

Calculated values
As for the space group: No. 221. The calculation puts the density at 11.9 g/cm³. Its density of states at the Fermi level is 4.951 states/eV per atom.

a = 5.247 Å, b = 5.247 Å, c = 5.247 Å
α = 90.00°, β = 90.00°, γ = 90.00°
Site moments in Bohr magnetons follow the coordinates.
Atoms (fractional coordinates):
Pu1 0.000 0.500 0.000  5.32
Pu2 0.500 0.000 0.000  5.32
Tl1 0.500 0.500 0.500  -0.02
Pu3 0.000 0.000 0.500  5.32
Ru1 0.000 0.000 0.000  -0.45

***

Relative energies, meV/atom: 1 279; 2 0.